No. 1
# TmPu4As5

An optimized crystal structure of TmPu4As5 (PBE-GGA, the Alexandria database).

## Properties
N(E_F) = 3.785 states/eV/atom
VASP energy = -96.2 eV per formula unit
formation energy = -1.115 eV per atom

abc: 7.1357 7.1357 7.1357
angles: 99.60 99.60 131.78
Last column: nearest neighbours and their distance in Å.
Fractional coordinates of all 10 atoms:
Tm  0.0000  0.0000  0.0000  6 As 2.91
Pu  0.2006  0.5999  0.8005  6 As 2.91-2.92
Pu  0.4001  0.2006  0.6007  6 As 2.91-2.92
Pu  0.5999  0.7994  0.3993  6 As 2.91-2.92
Pu  0.7994  0.4001  0.1995  6 As 2.91-2.92
As  0.0998  0.2995  0.3993  1 Tm 2.91, 5 Pu 2.91-2.92
As  0.2995  0.9002  0.1997  1 Tm 2.91, 5 Pu 2.91-2.92
As  0.5000  0.5000  0.0000  4 Pu 2.91, 2 Tm 2.91
As  0.7005  0.0998  0.8003  1 Tm 2.91, 5 Pu 2.91-2.92
As  0.9002  0.7005  0.6007  1 Tm 2.91, 5 Pu 2.91-2.92

---

No. 2
# TmPu3As4

An optimized crystal structure of TmPu3As4 (PBE-GGA, the Alexandria database).

## Properties
N(E_F) = 3.535 states/eV/atom
excess energy over the best structure of this formula in the dataset = 6 meV per atom
VASP energy = -75.1 eV per formula unit
formation energy = -1.132 eV per atom

abc: 5.8194 5.8194 5.8194
angles: 90.00 90.00 90.00
Last column: nearest neighbours and their distance in Å.
Fractional coordinates of all 8 atoms:
Tm  0.0000  0.0000  0.0000  6 As 2.91
Pu  0.0000  0.5000  0.5000  6 As 2.91
Pu  0.5000  0.0000  0.5000  6 As 2.91
Pu  0.5000  0.5000  0.0000  6 As 2.91
As  0.0000  0.0000  0.5000  4 Pu 2.91, 2 Tm 2.91
As  0.0000  0.5000  0.0000  4 Pu 2.91, 2 Tm 2.91
As  0.5000  0.0000  0.0000  4 Pu 2.91, 2 Tm 2.91
As  0.5000  0.5000  0.5000  6 Pu 2.91

---

No. 3
# Tm2PuAs

An optimized crystal structure of Tm2PuAs (PBE-GGA, the Alexandria database).

## Properties
N(E_F) = 2.539 states/eV/atom
VASP energy = -29.8 eV per formula unit
formation energy = -0.459 eV per atom

abc: 9.5276 9.5276 9.5276
angles: 22.75 22.75 22.75
Last column: nearest neighbours and their distance in Å.
Fractional coordinates of all 4 atoms:
Tm  0.2295  0.2295  0.2295  3 As 2.79
Tm  0.7705  0.7705  0.7705  3 As 2.79
Pu  0.0000  0.0000  0.0000  6 Tm 3.62, 6 Pu 3.76
As  0.5000  0.5000  0.5000  6 Tm 2.79

---

No. 4
# Tm2PuAs3

An optimized crystal structure of Tm2PuAs3 (PBE-GGA, the Alexandria database).

## Properties
N(E_F) = 1.863 states/eV/atom
VASP energy = -45.2 eV per formula unit
formation energy = -1.330 eV per atom

abc: 9.1221 9.1221 9.1221
angles: 154.10 154.10 36.95
Last column: nearest neighbours and their distance in Å.
Fractional coordinates of all 6 atoms:
Tm  0.1678  0.1678  0.0000  6 As 2.85-2.90
Tm  0.8322  0.8322  0.0000  6 As 2.85-2.90
Pu  0.5000  0.5000  0.0000  6 As 2.89-2.90
As  0.0000  0.0000  0.0000  4 Pu 2.89, 2 Tm 2.90
As  0.3326  0.3326  0.0000  5 Tm 2.85-2.89, 1 Pu 2.90
As  0.6674  0.6674  0.0000  5 Tm 2.85-2.89, 1 Pu 2.90

---

No. 5
# TmPu3As4

An optimized crystal structure of TmPu3As4 (PBE-GGA, the Alexandria database).

## Properties
N(E_F) = 3.739 states/eV/atom
excess energy over the best structure of this formula in the dataset = 0 meV per atom
VASP energy = -75.2 eV per formula unit
formation energy = -1.139 eV per atom

abc: 7.1259 7.1259 4.1208
angles: 90.00 90.00 109.49
Last column: nearest neighbours and their distance in Å.
Fractional coordinates of all 8 atoms:
Tm  0.0000  0.0000  0.0000  6 As 2.90-2.91
Pu  0.0000  0.5000  0.5000  6 As 2.91
Pu  0.5000  0.0000  0.5000  6 As 2.91
Pu  0.5000  0.5000  0.0000  6 As 2.92
As  0.2490  0.2490  0.5000  2 Tm 2.91, 4 Pu 2.91-2.92
As  0.2493  0.7507  0.0000  1 Tm 2.90, 5 Pu 2.91-2.92
As  0.7507  0.2493  0.0000  1 Tm 2.90, 5 Pu 2.91-2.92
As  0.7510  0.7510  0.5000  2 Tm 2.91, 4 Pu 2.91-2.92

---

No. 6
# TmPu2UAs4

An optimized crystal structure of TmPu2UAs4 (PBE-GGA, the Alexandria database).

## Properties
N(E_F) = 3.482 states/eV/atom
VASP energy = -71.4 eV per formula unit
formation energy = -1.052 eV per atom

abc: 7.0764 4.0942 7.1430
angles: 90.00 109.31 90.00
Last column: nearest neighbours and their distance in Å.
Fractional coordinates of all 8 atoms:
Tm  0.0000  0.0000  0.0000  6 As 2.87-2.89
Pu  0.5000  0.0000  0.5000  6 As 2.92
Pu  0.5000  0.5000  0.0000  6 As 2.92-2.94
U  0.0000  0.5000  0.5000  6 As 2.86-2.88
As  0.2439  0.0000  0.7483  1 Tm 2.87, 2 U 2.88, 3 Pu 2.92
As  0.2443  0.5000  0.2508  1 U 2.86, 2 Tm 2.89, 3 Pu 2.92-2.94
As  0.7561  0.0000  0.2517  1 Tm 2.87, 2 U 2.88, 3 Pu 2.92
As  0.7557  0.5000  0.7492  1 U 2.86, 2 Tm 2.89, 3 Pu 2.92-2.94

---

Q: Which of these has the highest N(E_F)?
A: TmPu4As5

---

Q: Among the records above, which one has the highest N(E_F)?
A: TmPu4As5

---

Q: Look up the formation energy of the first one.
A: -1.115 eV per atom

---

Q: Which formula does entry 5 have?
A: TmPu3As4